Entry 1:
KOsS2N | GGA-PBE | optimized geometry

The structure belongs to space group P4/mmm (No. 123); the cell edges are 4.981, 4.981 and 3.751 Å and the angles 90.00°, 90.00° and 90.00°. Symmetry generates all atoms from K at (0.000, 0.000, 0.000), Os at (0.500, 0.500, 0.500), S at (0.000, 0.500, 0.500) and N at (0.500, 0.500, 0.000).

The calculation puts the calculated volume at 93.1 Å³/cell. The distance to the lowest polymorph of the same formula is 0.0000 eV per atom. The uncorrected formation energy is 0.04 eV/atom. As for the size of the total moment: 0.3 μB/f.u. The calculated density comes out at 5.49 g cm⁻³.

Entry 2:
KOsSN2 | GGA-PBE | optimized geometry

The structure belongs to space group P4/mmm (No. 123); the cell edges are 3.912, 3.912 and 5.097 Å and the angles 90.00°, 90.00° and 90.00°. Symmetry generates all atoms from K at (0.000, 0.000, 0.000), Os at (0.500, 0.500, 0.500), S at (0.500, 0.500, 0.000) and N at (0.000, 0.500, 0.500).

The calculation puts the calculated volume at 78.0 Å³/cell. The distance to the lowest polymorph of the same formula is 0.0000 eV per atom. The uncorrected formation energy is 0.38 eV/atom. As for the size of the total moment: 0.1 μB/f.u. The calculated density comes out at 6.16 g cm⁻³.

Entry 3:
KSb2OsN | GGA-PBE | optimized geometry

The structure belongs to space group P4/mmm (No. 123); the cell edges are 5.508, 5.508 and 3.939 Å and the angles 90.00°, 90.00° and 90.00°. Symmetry generates all atoms from K at (0.000, 0.000, 0.000), Sb at (0.000, 0.500, 0.000), Os at (0.500, 0.500, 0.500) and N at (0.000, 0.000, 0.500).

The calculation puts the calculated volume at 119.5 Å³/cell. The uncorrected formation energy is 2.76 eV/atom. As for the size of the total moment: 0.0 μB/f.u. The calculated density comes out at 6.77 g cm⁻³.

Entry 4:
K2ScOsN | GGA-PBE | optimized geometry

The structure belongs to space group P4/mmm (No. 123); the cell edges are 5.749, 5.749 and 3.787 Å and the angles 90.00°, 90.00° and 90.00°. Symmetry generates all atoms from K at (0.000, 0.500, 0.000), Sc at (0.000, 0.000, 0.500), Os at (0.500, 0.500, 0.500) and N at (0.500, 0.500, 0.000).

The calculation puts the calculated volume at 125.1 Å³/cell. The uncorrected formation energy is 0.70 eV/atom. As for the size of the total moment: 0.8 μB/f.u. The calculated density comes out at 4.34 g cm⁻³.

Entry 5:
KTeOsN2 | GGA-PBE | optimized geometry

The structure belongs to space group P4/mmm (No. 123); the cell edges are 4.026, 4.026 and 5.687 Å and the angles 90.00°, 90.00° and 90.00°. Symmetry generates all atoms from K at (0.000, 0.000, 0.000), Te at (0.500, 0.500, 0.000), Os at (0.500, 0.500, 0.500) and N at (0.000, 0.500, 0.500).

The calculation puts the calculated volume at 92.2 Å³/cell. The distance to the lowest polymorph of the same formula is 0.0000 eV per atom. The uncorrected formation energy is 0.73 eV/atom. As for the size of the total moment: 0.4 μB/f.u. The calculated density comes out at 6.93 g cm⁻³.

Entry 6:
KTeOsN2 | GGA-PBE | optimized geometry

The structure belongs to space group P4/mmm (No. 123); the cell edges are 4.570, 4.570 and 6.891 Å and the angles 90.00°, 90.00° and 90.00°. Symmetry generates all atoms from K at (0.000, 0.000, 0.000), Te at (0.000, 0.000, 0.500), Os at (0.500, 0.500, 0.500) and N at (0.000, 0.500, 0.000).

The calculation puts the calculated volume at 143.9 Å³/cell. The distance to the lowest polymorph of the same formula is 2.2850 eV per atom. The uncorrected formation energy is 3.02 eV/atom. As for the size of the total moment: 8.6 μB/f.u. The calculated density comes out at 4.44 g cm⁻³.

Entry 7:
KTlOs2N | GGA-PBE | optimized geometry

The structure belongs to space group P4/mmm (No. 123); the cell edges are 5.135, 5.135 and 6.736 Å and the angles 90.00°, 90.00° and 90.00°. Symmetry generates all atoms from K at (0.000, 0.000, 0.000), Tl at (0.000, 0.000, 0.500), Os at (0.000, 0.500, 0.500) and N at (0.500, 0.500, 0.000).

The calculation puts the calculated volume at 177.6 Å³/cell. The uncorrected formation energy is 3.08 eV/atom. As for the size of the total moment: 6.9 μB/f.u. The calculated density comes out at 5.97 g cm⁻³.

Entry 8:
K4U3OsN8 | GGA-PBE | optimized geometry

The structure belongs to space group R-3m (No. 166, hexagonal axes); the cell edges are 6.8106, 6.8106 and 19.1475 Å and the angles 90.00°, 90.00° and 120.00°. Symmetry generates all atoms from K at (0.0000, 0.0000, 0.0000), K at (0.0000, 0.5000, 0.0000), U at (0.0000, 0.5000, 0.5000), Os at (0.0000, 0.0000, 0.5000), N at (0.0000, 0.0000, 0.2217) and N at (0.0091, 0.5045, 0.7783).

The calculation puts the calculated volume at 769.2 Å³/cell. The uncorrected formation energy is -0.68 eV/atom. As for the size of the total moment: 0.0 μB/f.u. The calculated density comes out at 7.60 g cm⁻³.

Entry 9:
KZrOsN2 | GGA-PBE | optimized geometry

The structure belongs to space group P4/mmm (No. 123); the cell edges are 4.440, 4.440 and 5.283 Å and the angles 90.00°, 90.00° and 90.00°. Symmetry generates all atoms from K at (0.000, 0.000, 0.000), Zr at (0.500, 0.500, 0.500), Os at (0.500, 0.500, 0.000) and N at (0.000, 0.500, 0.500).

The calculation puts the calculated volume at 104.1 Å³/cell. The uncorrected formation energy is 1.28 eV/atom. As for the size of the total moment: 5.0 μB/f.u. The calculated density comes out at 5.56 g cm⁻³.

Entry 10:
KPN2 | GGA-PBE | optimized geometry

The structure belongs to space group C2/c (No. 15); the cell edges are 6.809, 10.085 and 4.553 Å and the angles 90.00°, 117.53° and 90.00°. Symmetry generates all atoms from K at (0.000, 0.155, 0.250), P at (0.000, 0.496, 0.750) and N at (0.148, 0.416, 0.106).

The calculation puts the calculated volume at 277.2 Å³/cell. The uncorrected formation energy is -0.52 eV/atom. As for the size of the total moment: 0.0 μB/f.u. The calculated density comes out at 2.35 g cm⁻³.

Entry 11:
KPN2 | GGA-PBE | optimized geometry

The structure belongs to space group R-3m (No. 166, hexagonal axes); the cell edges are 4.2606, 4.2606 and 18.3398 Å and the angles 90.00°, 90.00° and 120.00°. Symmetry generates all atoms from K at (0.0000, 0.0000, 0.0000), P at (0.0000, 0.0000, 0.5000) and N at (0.0000, 0.0000, 0.4170).

The calculation puts the calculated volume at 288.3 Å³/cell. The uncorrected formation energy is 0.10 eV/atom. As for the size of the total moment: 0.0 μB/f.u. The calculated density comes out at 1.69 g cm⁻³.

Entry 12:
KPN2 | GGA-PBE | optimized geometry

The structure belongs to space group R-3m (No. 166, hexagonal axes); the cell edges are 2.8256, 2.8256 and 20.6434 Å and the angles 90.00°, 90.00° and 120.00°. Symmetry generates all atoms from K at (0.0000, 0.0000, 0.0000), P at (0.0000, 0.0000, 0.5000) and N at (0.0000, 0.0000, 0.1212).

The calculation puts the calculated volume at 142.7 Å³/cell. The uncorrected formation energy is 0.34 eV/atom. As for the size of the total moment: 0.0 μB/f.u. The calculated density comes out at 3.42 g cm⁻³.

Entry 13:
KPa2P2N6 | GGA-PBE | optimized geometry

The structure belongs to space group C2/m (No. 12); the cell edges are 10.984, 6.271 and 6.476 Å and the angles 90.00°, 122.58° and 90.00°. Symmetry generates all atoms from K at (0.000, 0.000, 0.000), Pa at (0.189, 0.500, 0.303), P at (0.107, 0.500, 0.671), N at (0.073, 0.500, 0.886) and N at (0.190, 0.294, 0.642).

The calculation puts the calculated volume at 375.9 Å³/cell. The uncorrected formation energy is -0.91 eV/atom. As for the size of the total moment: 0.4 μB/f.u. The calculated density comes out at 5.72 g cm⁻³.

Entry 14:
K2PaP2N6 | GGA-PBE | optimized geometry

The structure belongs to space group R-3m (No. 166, hexagonal axes); the cell edges are 5.8564, 5.8564 and 18.8678 Å and the angles 90.00°, 90.00° and 120.00°. Symmetry generates all atoms from K at (0.0000, 0.0000, 0.2064), Pa at (0.0000, 0.0000, 0.0000), P at (0.0000, 0.0000, 0.4049) and N at (0.0225, 0.5112, 0.2606).

The calculation puts the calculated volume at 560.4 Å³/cell. The uncorrected formation energy is -0.63 eV/atom. As for the size of the total moment: 0.0 μB/f.u. The calculated density comes out at 4.05 g cm⁻³.

Entry 15:
K4Pa3PN8 | GGA-PBE | optimized geometry

The structure belongs to space group C2/m (No. 12); the cell edges are 12.569, 6.770 and 7.382 Å and the angles 90.00°, 117.63° and 90.00°. Symmetry generates all atoms from K at (0.000, 0.000, 0.000), K at (0.000, 0.500, 0.000), K at (0.250, 0.250, 0.000), Pa at (0.000, 0.000, 0.500), Pa at (0.250, 0.250, 0.500), P at (0.000, 0.500, 0.500), N at (0.038, 0.308, 0.372), N at (0.200, 0.000, 0.668) and N at (0.216, 0.000, 0.293).

The calculation puts the calculated volume at 556.6 Å³/cell. The uncorrected formation energy is -0.72 eV/atom. As for the size of the total moment: 0.0 μB/f.u. The calculated density comes out at 5.92 g cm⁻³.

Entry 16:
K2PaPN4 | GGA-PBE | optimized geometry

The structure belongs to space group Fddd (No. 70, origin choice 2); the cell edges are 5.460, 12.286 and 23.247 Å and the angles 90.00°, 90.00° and 90.00°. Symmetry generates all atoms from K at (0.125, 0.125, 0.309), Pa at (0.125, 0.125, 0.125), P at (0.125, 0.125, 0.625) and N at (0.066, 0.296, 0.837).

The calculation puts the calculated volume at 1559.3 Å³/cell. The uncorrected formation energy is -0.45 eV/atom. As for the size of the total moment: 0.0 μB/f.u. The calculated density comes out at 3.38 g cm⁻³.

Entry 17:
K2Pa4P3N2 | GGA-PBE | optimized geometry

The structure belongs to space group I4/mmm (No. 139); the cell edges are 4.603, 4.603 and 24.171 Å and the angles 90.00°, 90.00° and 90.00°. Symmetry generates all atoms from K at (0.000, 0.000, 0.205), Pa at (0.000, 0.500, 0.075), P at (0.000, 0.000, 0.349), P at (0.000, 0.000, 0.500) and N at (0.000, 0.000, 0.083).

The calculation puts the calculated volume at 512.1 Å³/cell. The uncorrected formation energy is -0.97 eV/atom. As for the size of the total moment: 0.0 μB/f.u. The calculated density comes out at 7.28 g cm⁻³.

Entry 18:
K3Pa3PN8 | GGA-PBE | optimized geometry

The structure belongs to space group C2/m (No. 12); the cell edges are 12.384, 6.766 and 7.563 Å and the angles 90.00°, 120.99° and 90.00°. Symmetry generates all atoms from K at (0.000, 0.000, 0.000), K at (0.250, 0.250, 0.000), Pa at (0.000, 0.500, 0.500), Pa at (0.250, 0.250, 0.500), P at (0.000, 0.000, 0.500), N at (0.030, 0.186, 0.371), N at (0.205, 0.500, 0.671) and N at (0.209, 0.500, 0.299).

The calculation puts the calculated volume at 543.2 Å³/cell. The uncorrected formation energy is -0.71 eV/atom. As for the size of the total moment: 0.8 μB/f.u. The calculated density comes out at 5.83 g cm⁻³.

Entry 19:
KPmPN2 | GGA-PBE | optimized geometry

The structure belongs to space group P2/c (No. 13); the cell edges are 6.167, 4.888 and 7.236 Å and the angles 90.00°, 90.08° and 90.00°. Symmetry generates all atoms from K at (0.000, 0.001, 0.250), Pm at (0.500, 0.500, 0.250), P at (0.500, 0.000, 0.000) and N at (0.318, 0.266, 0.000).

The calculation puts the calculated volume at 218.1 Å³/cell. The uncorrected formation energy is -0.26 eV/atom. As for the size of the total moment: 0.9 μB/f.u. The calculated density comes out at 3.70 g cm⁻³.

Entry 20:
KPmPN3 | GGA-PBE | optimized geometry

The structure belongs to space group C2/m (No. 12); the cell edges are 12.640, 3.796 and 7.962 Å and the angles 90.00°, 106.44° and 90.00°. Symmetry generates all atoms from K at (0.144, 0.000, 0.063), Pm at (0.151, 0.000, 0.583), P at (0.009, 0.500, 0.288), N at (0.011, 0.000, 0.309), N at (0.127, 0.500, 0.782) and N at (0.148, 0.500, 0.351).

The calculation puts the calculated volume at 366.4 Å³/cell. The uncorrected formation energy is -0.35 eV/atom. As for the size of the total moment: 0.0 μB/f.u. The calculated density comes out at 4.66 g cm⁻³.

Entry 21:
KPrPN2 | GGA-PBE | optimized geometry

The structure belongs to space group P2/c (No. 13); the cell edges are 6.154, 4.954 and 7.377 Å and the angles 90.00°, 90.08° and 90.00°. Symmetry generates all atoms from K at (0.000, 0.001, 0.250), Pr at (0.500, 0.500, 0.250), P at (0.500, 0.000, 0.000) and N at (0.317, 0.261, 0.000).

The calculation puts the calculated volume at 224.9 Å³/cell. The uncorrected formation energy is -0.22 eV/atom. As for the size of the total moment: 1.0 μB/f.u. The calculated density comes out at 3.53 g cm⁻³.

Entry 22:
KReP2N6 | GGA-PBE | optimized geometry

The structure belongs to space group C2/c (No. 15); the cell edges are 9.784, 11.306 and 5.441 Å and the angles 90.00°, 110.63° and 90.00°. Symmetry generates all atoms from K at (0.000, 0.118, 0.250), Re at (0.000, 0.273, 0.750), P at (0.227, 0.429, 0.151), N at (0.065, 0.365, 0.048), N at (0.151, 0.182, 0.750) and N at (0.238, 0.007, 0.087).

The calculation puts the calculated volume at 563.3 Å³/cell. The uncorrected formation energy is -0.17 eV/atom. As for the size of the total moment: 0.0 μB/f.u. The calculated density comes out at 4.38 g cm⁻³.

Entry 23:
KPS2N | GGA-PBE | optimized geometry

The structure belongs to space group P4/mmm (No. 123); the cell edges are 5.163, 5.163 and 3.523 Å and the angles 90.00°, 90.00° and 90.00°. Symmetry generates all atoms from K at (0.000, 0.000, 0.000), P at (0.500, 0.500, 0.000), S at (0.000, 0.500, 0.500) and N at (0.500, 0.500, 0.500).

The calculation puts the calculated volume at 93.9 Å³/cell. The distance to the lowest polymorph of the same formula is 0.4765 eV per atom. The uncorrected formation energy is 0.72 eV/atom. As for the size of the total moment: 0.0 μB/f.u. The calculated density comes out at 2.62 g cm⁻³.